Ce2AgBi | PBE | relaxed

Summary:
E_form ... -0.24 eV per atom

Unit cell a=4.519 b=4.519 c=7.778 alpha=73.11 beta=73.11 gamma=60.00
Last column: magnetic moment on the atom in μB.
Atoms (fractional coordinates):
1 Ce 0.254 0.254 0.237  1.08
2 Ce 0.746 0.746 0.763  1.08
3 Bi 0.500 0.500 0.500  -0.04
4 Ag 0.000 0.000 0.000  0.06